Here is a relaxed structure of Ho2UBi3 from Alexandria via LeMat-Bulk. Energies are from PBE-GGA.

Unit cell a=7.7656 b=7.7656 c=14.0671 alpha=100.71 beta=100.71 gamma=109.07
Closest atoms and distances in Å follow each position.
Element x y z (fractional)
Ho  0.4168  0.4168  0.8337  6 Bi 3.14-3.15
Ho  0.4991  0.9991  0.9981  6 Bi 3.16
Ho  0.7509  0.7509  0.5019  6 Bi 3.16
Ho  0.8332  0.3332  0.6663  6 Bi 3.14-3.15
Ho  0.5832  0.5832  0.1663  6 Bi 3.14-3.15
Ho  0.6668  0.1668  0.3337  6 Bi 3.14-3.15
Ho  0.0009  0.5009  0.0019  6 Bi 3.16
Ho  0.2491  0.2491  0.4981  6 Bi 3.16
U  0.1666  0.6666  0.3331  6 Bi 3.17-3.18
U  0.9166  0.9166  0.8331  6 Bi 3.17-3.18
U  0.3334  0.8334  0.6669  6 Bi 3.17-3.18
U  0.0834  0.0834  0.1669  6 Bi 3.17-3.18
Bi  0.5029  0.0029  0.5000  4 Ho 3.14-3.16, 2 U 3.18
Bi  0.6687  0.1705  0.8339  4 Ho 3.15-3.16, 2 U 3.17-3.18
Bi  0.2529  0.2529  0.0000  4 Ho 3.14-3.16, 2 U 3.18
Bi  0.0848  0.0866  0.6661  4 Ho 3.15-3.16, 2 U 3.17-3.18
Bi  0.8295  0.3313  0.1661  4 Ho 3.15-3.16, 2 U 3.17-3.18
Bi  0.1652  0.6634  0.8339  4 Ho 3.15-3.16, 2 U 3.17-3.18
Bi  0.9971  0.4971  0.5000  4 Ho 3.14-3.16, 2 U 3.18
Bi  0.7471  0.7471  0.0000  4 Ho 3.14-3.16, 2 U 3.18
Bi  0.9134  0.9152  0.3339  4 Ho 3.15-3.16, 2 U 3.17-3.18
Bi  0.4205  0.4187  0.3339  4 Ho 3.15-3.16, 2 U 3.17-3.18
Bi  0.3366  0.8348  0.1661  4 Ho 3.15-3.16, 2 U 3.17-3.18
Bi  0.5813  0.5795  0.6661  4 Ho 3.15-3.16, 2 U 3.17-3.18

- Symmetry: Fddd
- Crystal system: orthorhombic
- DOS(E_F): 1.134 states/eV/atom



Here is a relaxed structure of Ho5UBi6 from Alexandria via LeMat-Bulk. Energies are from PBE-GGA.

Unit cell a=7.7443 b=7.7443 c=7.7446 alpha=99.59 beta=99.59 gamma=120.03
Closest atoms and distances in Å follow each position.
Element x y z (fractional)
Ho  0.3331  0.6669  0.0000  6 Bi 3.16
Ho  0.8339  0.1661  0.5000  6 Bi 3.15-3.16
Ho  0.1661  0.8339  0.5000  6 Bi 3.15-3.16
Ho  0.6669  0.3331  0.0000  6 Bi 3.16
Ho  0.5000  0.5000  0.5000  6 Bi 3.15-3.16
Bi  0.0840  0.4189  0.2517  5 Ho 3.15-3.16, 1 U 3.18
Bi  0.7484  0.7484  0.2500  5 Ho 3.15-3.16, 1 U 3.17
Bi  0.9160  0.5811  0.7483  5 Ho 3.15-3.16, 1 U 3.18
Bi  0.2516  0.2516  0.7500  5 Ho 3.15-3.16, 1 U 3.17
Bi  0.4189  0.0840  0.2517  5 Ho 3.15-3.16, 1 U 3.18
Bi  0.5811  0.9160  0.7483  5 Ho 3.15-3.16, 1 U 3.18
U  0.0000  0.0000  0.0000  6 Bi 3.17-3.18

- Symmetry: C2/m
- Crystal system: monoclinic
- DOS(E_F): 0.808 states/eV/atom



Here is a relaxed structure of Ho8VBi2 from Alexandria via LeMat-Bulk. Energies are from PBE-GGA.

Unit cell a=5.5353 b=7.1487 c=9.1094 alpha=113.10 beta=107.69 gamma=90.00
Closest atoms and distances in Å follow each position.
Element x y z (fractional)
V  0.5000  0.0000  0.0000  4 Ho 2.75
Bi  0.8121  0.3121  0.6242  12 Ho 3.38-3.58
Bi  0.1879  0.6879  0.3758  12 Ho 3.38-3.58
Ho  0.3762  0.1457  0.7523  1 V 2.75
Ho  0.8138  0.8135  0.6275  4 Bi 3.41-3.58, 8 Ho 3.41-3.51
Ho  0.6237  0.3935  0.2474  1 V 2.75
Ho  0.3763  0.6065  0.7526  1 V 2.75
Ho  0.0000  0.2410  0.9999  2 V 3.26, 7 Ho 3.40-3.45, 2 Bi 3.50
Ho  0.1862  0.1865  0.3725  4 Bi 3.41-3.58, 8 Ho 3.41-3.51
Ho  0.6238  0.8543  0.2477  1 V 2.75
Ho  0.0000  0.7590  0.0001  2 V 3.26, 7 Ho 3.40-3.45, 2 Bi 3.50

- Symmetry: Immm
- Crystal system: orthorhombic
- DOS(E_F): 1.126 states/eV/atom



VASP energy across the listed records, respectively: -5.84 -5.45 -5.00 eV/atom.
Spin magnetization across the listed records, respectively: 2.72 2.68 1.27 μB/f.u..